1.
This record from the Alexandria database describes an optimized crystal structure of SrAg4Pb. The functional is GGA-PBEsol.

The space group is F-43m, No. 216. For the calculated formation energy, the calculation gives -0.22 eV per atom.

Lattice parameters (Å, degrees): 5.6358 5.6358 5.6358 60.00 60.00 60.00
With the nearest neighbours (Å) after each atom.
Sites, in units of the cell vectors:
Sr: 0.0000 0.0000 0.0000  12 Ag 3.30, 4 Pb 3.45
Ag: 0.3750 0.3750 0.3750  6 Ag 2.82
Pb: 0.7500 0.7500 0.7500  12 Ag 3.30, 4 Sr 3.45
Ag: 0.8751 0.3750 0.3750  6 Ag 2.82
Ag: 0.3750 0.3750 0.8751  6 Ag 2.82
Ag: 0.3750 0.8751 0.3750  6 Ag 2.82

---

2.
This record from the Alexandria database describes an optimized crystal structure of Ca2ScIn. The functional is GGA-PBEsol.

The space group is R3m, No. 160. For the calculated formation energy, the calculation gives -0.06 eV per atom.

Lattice parameters (Å, degrees): 3.5835 3.5835 11.1015 80.71 80.71 60.00
With the nearest neighbours (Å) after each atom.
Sites, in units of the cell vectors:
In: 0.5045 0.5045 0.4864  3 Sc 3.04, 3 Ca 3.24
Sc: 0.2393 0.2393 0.2822  3 In 3.04
Ca: 0.7615 0.7615 0.7154  3 In 3.24, 6 Ca 3.58
Ca: 0.9947 0.9947 0.0160  3 Sc 3.56, 9 Ca 3.58-3.88

---

3.
This record from the Alexandria database describes an optimized crystal structure of AlZn2Cl. The functional is GGA-PBEsol.

The space group is Pmm2, No. 25. The value obtained for the energy above the lowest structure with this stoichiometry is 0.0000 eV per atom. For the raw formation energy, the calculation gives -0.130 eV/atom.

Lattice parameters (Å, degrees): 2.7878 4.7601 5.1152 90.00 90.00 90.00
With the nearest neighbours (Å) after each atom.
Sites, in units of the cell vectors:
Al: 0.5016 0.0000 0.0000  2 Cl 2.38
Zn: 0.0000 0.0000 0.5000  6 Zn 2.76-2.79, 4 Al 2.91
Zn: 0.4992 0.5000 0.5000  2 Cl 2.56, 6 Zn 2.76-2.79
Cl: 0.4992 0.5000 0.0000  2 Al 2.38, 2 Zn 2.56

---

4.
This record from the Alexandria database describes an optimized crystal structure of CoRh2. The functional is GGA-PBEsol.

The space group is P2/m, No. 10. For the calculated formation energy, the calculation gives 0.07 eV per atom.

Lattice parameters (Å, degrees): 2.6281 4.5004 6.3668 90.93 90.00 90.00
With the nearest neighbours (Å) after each atom.
Sites, in units of the cell vectors:
Rh: 0.0000 0.0000 0.5000  10 Rh 2.61-2.64, 2 Co 2.64
Rh: 0.5000 0.8273 0.1592  6 Co 2.54-2.64, 6 Rh 2.57-2.64
Co: 0.0000 0.6639 0.8360  9 Rh 2.54-2.64, 3 Co 2.58-2.63
Co: 0.0000 0.3361 0.1640  9 Rh 2.54-2.64, 3 Co 2.58-2.63
Rh: 0.5000 0.5000 0.5000  8 Rh 2.61-2.64, 4 Co 2.61
Rh: 0.5000 0.1727 0.8408  6 Co 2.54-2.64, 6 Rh 2.57-2.64

---

Listing DOS at the Fermi energy for the structures above in their given order: 1.05 4.33 1.02 9.60 states/eV per cell.